No. 1
A plane-wave DFT calculation with PBE-GGA was carried out for an optimized crystal structure of HfAgMo2Pb.

Cell: 5.0661 5.0661 4.8788 Å, 90.00 90.00 90.00°
Space group P4/mmm (No. 123)
Inequivalent atoms, fractional coordinates:
Hf: 0.0000 0.0000 0.0000 (multiplicity 1)
Ag: 0.5000 0.5000 0.0000 (multiplicity 1)
Mo: 0.0000 0.5000 0.5000 (multiplicity 2)
Pb: 0.5000 0.5000 0.5000 (multiplicity 1)

Output
DOS(E_F) in states/eV/atom: 1.149
ΔH_f (0 K) in eV/atom: 1.935

No. 2
A plane-wave DFT calculation with PBE-GGA was carried out for an optimized crystal structure of HfScAgMo.

Cell: 6.6980 6.6980 6.6980 Å, 90.00 90.00 90.00°
Space group F-43m (No. 216)
Inequivalent atoms, fractional coordinates:
Hf: 0.0000 0.0000 0.0000 (multiplicity 4)
Sc: 0.0000 0.0000 0.5000 (multiplicity 4)
Ag: 0.2500 0.2500 0.7500 (multiplicity 4)
Mo: 0.2500 0.2500 0.2500 (multiplicity 4)

Output
DOS(E_F) in states/eV/atom: 0.571
ΔH_f (0 K) in eV/atom: -0.011

No. 3
A plane-wave DFT calculation with PBE-GGA was carried out for an optimized crystal structure of HfTi2AgMo.

Cell: 4.7076 4.7076 5.0197 Å, 90.00 90.00 90.00°
Space group P4/mmm (No. 123)
Inequivalent atoms, fractional coordinates:
Hf: 0.0000 0.0000 0.0000 (multiplicity 1)
Ti: 0.0000 0.5000 0.5000 (multiplicity 2)
Ag: 0.5000 0.5000 0.5000 (multiplicity 1)
Mo: 0.5000 0.5000 0.0000 (multiplicity 1)

Output
DOS(E_F) in states/eV/atom: 1.148
ΔH_f (0 K) in eV/atom: 1.363

No. 4
A plane-wave DFT calculation with PBE-GGA was carried out for an optimized crystal structure of HfZrAgMo.

Cell: 6.7410 6.7410 6.7410 Å, 90.00 90.00 90.00°
Space group F-43m (No. 216)
Inequivalent atoms, fractional coordinates:
Hf: 0.0000 0.0000 0.0000 (multiplicity 4)
Zr: 0.0000 0.0000 0.5000 (multiplicity 4)
Ag: 0.2500 0.2500 0.2500 (multiplicity 4)
Mo: 0.2500 0.2500 0.7500 (multiplicity 4)

Output
DOS(E_F) in states/eV/atom: 0.595
ΔH_f (0 K) in eV/atom: -0.029

No. 5
A plane-wave DFT calculation with PBE-GGA was carried out for an optimized crystal structure of HfZr2AgMo.

Cell: 5.0035 5.0035 5.0707 Å, 90.00 90.00 90.00°
Space group P4/mmm (No. 123)
Inequivalent atoms, fractional coordinates:
Hf: 0.0000 0.0000 0.0000 (multiplicity 1)
Zr: 0.0000 0.5000 0.5000 (multiplicity 2)
Ag: 0.5000 0.5000 0.0000 (multiplicity 1)
Mo: 0.0000 0.0000 0.5000 (multiplicity 1)

Output
DOS(E_F) in states/eV/atom: 1.138
ΔH_f (0 K) in eV/atom: 0.776

No. 6
A plane-wave DFT calculation with PBE-GGA was carried out for an optimized crystal structure of Hf6AgN.

Cell: 5.1386 5.7254 5.8441 Å, 98.05 112.50 91.63°
Space group P-1 (No. 2)
Inequivalent atoms, fractional coordinates:
Hf: 0.0554 0.2995 0.1547 (multiplicity 2)
Hf: 0.2116 0.8275 0.4629 (multiplicity 2)
Hf: 0.3971 0.3831 0.7378 (multiplicity 2)
Ag: 0.5000 0.0000 0.0000 (multiplicity 1)
N: 0.0000 0.5000 0.5000 (multiplicity 1)

Output
DOS(E_F) in states/eV/atom: 0.844
Formation energy without anion corrections in meV/atom: -392.3

No. 7
A plane-wave DFT calculation with PBE-GGA was carried out for an optimized crystal structure of HfAgN2.

Cell: 3.3197 3.3197 18.6574 Å, 90.00 90.00 120.00°
Space group R-3m (No. 166, hexagonal axes)
Inequivalent atoms, fractional coordinates:
Hf: 0.0000 0.0000 0.0000 (multiplicity 3)
Ag: 0.0000 0.0000 0.5000 (multiplicity 3)
N: 0.0000 0.0000 0.3892 (multiplicity 6)

Output
DOS(E_F) in states/eV/atom: 1.780
Energy above the lowest structure with this stoichiometry in eV/f.u.: 0.00
Formation energy without anion corrections in meV/atom: -430.9

No. 8
A plane-wave DFT calculation with PBE-GGA was carried out for an optimized crystal structure of HfAgN2.

Cell: 5.0017 5.0017 9.8963 Å, 90.00 90.00 90.00°
Space group I-42d (No. 122)
Inequivalent atoms, fractional coordinates:
Hf: 0.0000 0.0000 0.0000 (multiplicity 4)
Ag: 0.0000 0.0000 0.5000 (multiplicity 4)
N: 0.2112 0.2500 0.1250 (multiplicity 8)

Output
DOS(E_F) in states/eV/atom: 0.908
Energy above the lowest structure with this stoichiometry in eV/f.u.: 0.60
Formation energy without anion corrections in meV/atom: -281.7